{
  "formula": "RbLiThS3",
  "functional": "PBE",
  "state": "optimized geometry",
  "lattice_angstrom": [[-2.646, -1.882, -2.708], [6.370, -6.379, -1.791], [-5.060, -3.240, 7.197]],
  "species": ["S", "S", "S", "S", "S", "S", "Rb", "Rb", "Li", "Li", "Th", "Th"],
  "frac_coords": [[0.750, 0.467, 0.153], [0.750, 0.191, 0.541], [0.250, 0.135, 0.865], [0.250, 0.809, 0.459], [0.750, 0.865, 0.135], [0.250, 0.533, 0.847], [0.750, 0.799, 0.749], [0.250, 0.201, 0.251], [0.750, 0.922, 0.408], [0.250, 0.078, 0.592], [0.750, 0.322, 0.838], [0.250, 0.678, 0.162]],
  "final_energy_ev_per_atom": -5.47,
  "n_ef_per_ev_cell": 0.00,
  "e_form_raw_ev_per_fu": -10.14,
  "volume_a3_per_cell": 349.3,
  "m_tot_mub_per_cell": 0.00
}

***

{
  "formula": "Sm2RhPb",
  "functional": "PBE",
  "state": "optimized geometry",
  "lattice_angstrom": [[4.313, -0.001, 0.000], [-2.157, 3.737, 0.002], [0.000, -0.003, 7.077]],
  "species": ["Pb", "Rh", "Sm", "Sm"],
  "frac_coords": [[0.000, 0.500, 0.500], [0.000, 0.500, 0.000], [0.667, 0.833, 0.799], [0.333, 0.167, 0.201]],
  "formation_energy_ev_per_atom": -0.501,
  "final_energy_ev_per_atom": -5.63,
  "n_ef_per_ev_cell": 3.12,
  "polymorph_energy_ev_per_atom": 0.125,
  "volume_a3_per_cell": 114.0,
  "m_tot_mub_per_cell": 0.00
}

***

{
  "formula": "KSiTc2",
  "functional": "PBE",
  "state": "optimized geometry",
  "lattice_angstrom": [[-2.526, -1.172, -0.177], [1.895, -1.722, 1.108], [-2.149, 3.300, 8.801]],
  "species": ["K", "Tc", "Tc", "Si"],
  "frac_coords": [[0.500, 0.500, 0.250], [0.000, 0.000, 0.944], [0.000, 0.000, 0.556], [0.500, 0.500, 0.750]],
  "final_energy_ev_per_atom": -6.25,
  "n_ef_per_ev_cell": 2.17,
  "e_form_raw_ev_per_fu": 2.26,
  "volume_a3_per_cell": 69.4,
  "m_tot_mub_per_cell": 0.00
}

***

{
  "formula": "CaTc2I",
  "functional": "PBE",
  "state": "optimized geometry",
  "lattice_angstrom": [[0.000, 3.309, 3.309], [3.309, 0.000, 3.309], [3.309, 3.309, 0.000]],
  "species": ["I", "Tc", "Tc", "Ca"],
  "frac_coords": [[0.500, 0.500, 0.500], [0.250, 0.250, 0.250], [0.750, 0.750, 0.750], [0.000, 0.000, 0.000]],
  "final_energy_ev_per_atom": -5.15,
  "n_ef_per_ev_cell": 4.36,
  "e_form_raw_ev_per_fu": 3.68,
  "polymorph_energy_ev_per_atom": 0.000,
  "volume_a3_per_cell": 72.4,
  "m_tot_mub_per_cell": 0.00
}

***

{
  "formula": "FeOsC2N",
  "functional": "PBE",
  "state": "optimized geometry",
  "lattice_angstrom": [[-2.754, 2.142, -1.498], [1.503, -1.318, -4.647], [-2.358, -2.975, 0.081]],
  "species": ["Fe", "N", "Os", "C", "C"],
  "frac_coords": [[0.000, 0.500, 0.000], [0.500, 0.500, 0.500], [0.000, 0.000, 0.000], [0.500, 0.000, 0.000], [0.000, 0.000, 0.500]],
  "final_energy_ev_per_atom": -6.78,
  "n_ef_per_ev_cell": 6.90,
  "e_form_raw_ev_per_fu": 12.59,
  "volume_a3_per_cell": 72.9,
  "m_tot_mub_per_cell": 1.39
}

***

{
  "formula": "ZrCu3Hg",
  "functional": "PBE",
  "state": "optimized geometry",
  "lattice_angstrom": [[4.992, 0.000, 0.000], [0.000, 4.992, 0.000], [0.000, 0.000, 4.992]],
  "species": ["Cu", "Cu", "Cu", "Zr", "Hg"],
  "frac_coords": [[0.500, 0.000, 0.000], [0.000, 0.000, 0.500], [0.000, 0.500, 0.000], [0.000, 0.000, 0.000], [0.500, 0.500, 0.500]],
  "formation_energy_ev_per_atom": 1.189,
  "final_energy_ev_per_atom": -3.04,
  "n_ef_per_ev_cell": 3.81,
  "polymorph_energy_ev_per_atom": 0.302,
  "volume_a3_per_cell": 124.4,
  "m_tot_mub_per_cell": 0.00
}